[1]
Compound: LiIn2Mo2
Source: the Alexandria database
Functional: SCAN
Structure: PBEsol geometry

Results
- final energy (eV per atom) = -27.501
- volume (Å³/f.u.) = 97
- magnetization (μB per formula unit) = 0.00
- symmetry = I4/mmm, No. 139

abc: 7.6907 7.6907 7.6907
angles: 152.55 152.55 39.22
With the nearest neighbours (Å) after each atom.
Atoms (fractional coordinates):
Li1 0.0000 0.0000 0.0000  8 In 2.95
In1 0.4019 0.4019 0.0000  1 In 2.84, 4 Mo 2.86, 4 Li 2.95
In2 0.5981 0.5981 0.0000  1 In 2.84, 4 Mo 2.86, 4 Li 2.95
Mo1 0.2500 0.7500 0.5000  4 Mo 2.58, 4 In 2.86
Mo2 0.7500 0.2500 0.5000  4 Mo 2.58, 4 In 2.86

[2]
Compound: LiInMo2Pb
Source: the Alexandria database
Functional: SCAN
Structure: PBEsol geometry

Results
- final energy (eV per atom) = -34.590
- volume (Å³/f.u.) = 150
- magnetization (μB per formula unit) = 7.13
- symmetry = P4/mmm, No. 123

abc: 5.1892 5.1892 5.5750
angles: 90.00 90.00 90.00
With the nearest neighbours (Å) after each atom.
Atoms (fractional coordinates):
Li1 0.0000 0.0000 0.0000  4 Pb 3.67, 8 Mo 3.81
In1 0.5000 0.5000 0.5000  4 Mo 2.59, 2 Pb 2.79
Mo1 0.0000 0.5000 0.5000  2 In 2.59
Mo2 0.5000 0.0000 0.5000  2 In 2.59
Pb1 0.5000 0.5000 0.0000  2 In 2.79

[3]
Compound: LiInMo6Se6
Source: the Alexandria database
Functional: SCAN
Structure: PBEsol geometry

Results
- E_form (uncorrected) (eV/atom) = -0.55
- volume (Å³/f.u.) = 282
- magnetization (μB per formula unit) = 0.00
- symmetry = P-6, No. 174

abc: 8.5291 8.5291 4.4777
angles: 90.00 90.00 120.00
With the nearest neighbours (Å) after each atom.
Atoms (fractional coordinates):
Li1 0.0000 0.0000 0.0000  9 Se 3.16-3.35, 3 Mo 3.50
In1 0.3333 0.6667 0.5000  9 Se 3.20-3.41, 3 Mo 3.50
Mo1 0.4698 0.2902 0.0000  4 Se 2.58-2.68, 6 Mo 2.65-2.72
Mo2 0.5144 0.1365 0.5000  4 Se 2.59-2.68, 6 Mo 2.64-2.72
Mo3 0.6220 0.4856 0.5000  4 Se 2.59-2.68, 6 Mo 2.64-2.72
Mo4 0.7098 0.1796 0.0000  4 Se 2.58-2.68, 6 Mo 2.65-2.72
Mo5 0.8204 0.5302 0.0000  4 Se 2.58-2.68, 6 Mo 2.65-2.72
Mo6 0.8635 0.3780 0.5000  4 Se 2.59-2.68, 6 Mo 2.64-2.72
Se1 0.0512 0.4154 0.0000  4 Mo 2.58-2.68
Se2 0.2771 0.2421 0.5000  4 Mo 2.59-2.68
Se3 0.3642 0.9488 0.0000  4 Mo 2.58-2.68
Se4 0.5846 0.6358 0.0000  4 Mo 2.58-2.68
Se5 0.7579 0.0350 0.5000  4 Mo 2.59-2.68
Se6 0.9650 0.7229 0.5000  4 Mo 2.59-2.68

[4]
Compound: LiInTe6Mo6
Source: the Alexandria database
Functional: SCAN
Structure: PBEsol geometry

Results
- E_form (uncorrected) (eV/atom) = -0.31
- volume (Å³/f.u.) = 329
- magnetization (μB per formula unit) = 0.00
- symmetry = P-6, No. 174

abc: 9.1140 9.1140 4.5702
angles: 90.00 90.00 120.00
With the nearest neighbours (Å) after each atom.
Atoms (fractional coordinates):
Li1 0.0000 0.0000 0.0000  9 Te 3.31-3.55
In1 0.3333 0.6667 0.5000  9 Te 3.34-3.58
Te1 0.0532 0.6394 0.0000  4 Mo 2.78-2.85
Te2 0.2760 0.0274 0.5000  4 Mo 2.81-2.86
Te3 0.3606 0.4138 0.0000  4 Mo 2.78-2.85
Te4 0.5862 0.9468 0.0000  4 Mo 2.78-2.85
Te5 0.7514 0.7240 0.5000  4 Mo 2.81-2.86
Te6 0.9726 0.2486 0.5000  4 Mo 2.81-2.86
Mo1 0.4829 0.1892 0.0000  6 Mo 2.64-2.75, 4 Te 2.78-2.86
Mo2 0.5239 0.3732 0.5000  6 Mo 2.63-2.75, 4 Te 2.81-2.85
Mo3 0.6268 0.1506 0.5000  6 Mo 2.63-2.75, 4 Te 2.81-2.85
Mo4 0.7063 0.5171 0.0000  6 Mo 2.64-2.75, 4 Te 2.78-2.86
Mo5 0.8108 0.2937 0.0000  6 Mo 2.64-2.75, 4 Te 2.78-2.86
Mo6 0.8494 0.4761 0.5000  6 Mo 2.63-2.75, 4 Te 2.81-2.85

[5]
Compound: LiInNO2
Source: the Alexandria database
Functional: SCAN
Structure: PBEsol geometry

Results
- E_form (uncorrected) (eV/atom) = -0.07
- volume (Å³/f.u.) = 75
- magnetization (μB per formula unit) = 3.00
- symmetry = P4/mmm, No. 123

abc: 4.1712 4.1712 4.2839
angles: 90.00 90.00 90.00
With the nearest neighbours (Å) after each atom.
Atoms (fractional coordinates):
Li1 0.0000 0.0000 0.0000  4 N 2.95, 8 O 2.99
In1 0.5000 0.5000 0.5000  4 O 2.09, 2 N 2.14
N1 0.5000 0.5000 0.0000  2 In 2.14
O1 0.0000 0.5000 0.5000  2 In 2.09
O2 0.5000 0.0000 0.5000  2 In 2.09

[6]
Compound: NaLiIn3
Source: the Alexandria database
Functional: SCAN
Structure: PBEsol geometry

Results
- final energy (eV per atom) = -20.936
- volume (Å³/f.u.) = 161
- magnetization (μB per formula unit) = 0.00
- symmetry = Pm-3m, No. 221

abc: 5.4402 5.4402 5.4402
angles: 90.00 90.00 90.00
With the nearest neighbours (Å) after each atom.
Atoms (fractional coordinates):
Na1 0.0000 0.0000 0.0000  6 In 2.72
Li1 0.5000 0.5000 0.5000  12 In 3.85
In1 0.0000 0.0000 0.5000  2 Na 2.72
In2 0.0000 0.5000 0.0000  2 Na 2.72
In3 0.5000 0.0000 0.0000  2 Na 2.72

[7]
Compound: Na3LiIn
Source: the Alexandria database
Functional: SCAN
Structure: PBEsol geometry

Results
- final energy (eV per atom) = -9.497
- volume (Å³/f.u.) = 202
- magnetization (μB per formula unit) = 0.00
- symmetry = Pm-3m, No. 221

abc: 5.8697 5.8697 5.8697
angles: 90.00 90.00 90.00
With the nearest neighbours (Å) after each atom.
Atoms (fractional coordinates):
Na1 0.0000 0.0000 0.5000  2 In 2.93
Na2 0.0000 0.5000 0.0000  2 In 2.93
Na3 0.5000 0.0000 0.0000  2 In 2.93
Li1 0.5000 0.5000 0.5000  12 Na 4.15
In1 0.0000 0.0000 0.0000  6 Na 2.93

[8]
Compound: NaLi2In2
Source: the Alexandria database
Functional: SCAN
Structure: PBEsol geometry

Results
- final energy (eV per atom) = -15.455
- volume (Å³/f.u.) = 109
- magnetization (μB per formula unit) = 0.00
- symmetry = P4/mbm, No. 127

abc: 8.3633 8.3633 3.1265
angles: 90.00 90.00 90.00
With the nearest neighbours (Å) after each atom.
Atoms (fractional coordinates):
Na1 0.0000 0.0000 0.0000  2 Na 3.13, 4 In 3.31, 8 Li 3.46
Na2 0.5000 0.5000 0.0000  2 Na 3.13, 4 In 3.31, 8 Li 3.46
Li1 0.1735 0.3265 0.5000  6 In 2.85-2.97, 2 Li 3.13
Li2 0.3265 0.8265 0.5000  6 In 2.85-2.97, 2 Li 3.13
Li3 0.6735 0.1735 0.5000  6 In 2.85-2.97, 2 Li 3.13
Li4 0.8265 0.6735 0.5000  6 In 2.85-2.97, 2 Li 3.13
In1 0.1246 0.6246 0.0000  6 Li 2.85-2.97, 3 In 2.95-3.13
In2 0.3754 0.1246 0.0000  6 Li 2.85-2.97, 3 In 2.95-3.13
In3 0.6246 0.8754 0.0000  6 Li 2.85-2.97, 3 In 2.95-3.13
In4 0.8754 0.3754 0.0000  6 Li 2.85-2.97, 3 In 2.95-3.13

[9]
Compound: Li4NbIn3P6O24
Source: the Alexandria database
Functional: SCAN
Structure: PBEsol geometry

Results
- E_form (uncorrected) (eV/atom) = -2.46
- volume (Å³/f.u.) = 482
- magnetization (μB per formula unit) = 0.00
- symmetry = Pc, No. 7

abc: 8.7468 8.9153 15.1328
angles: 90.00 125.27 90.00
With the nearest neighbours (Å) after each atom.
Atoms (fractional coordinates):
Li1 0.0000 0.0253 0.0000  4 O 1.88-2.00
Li2 0.0000 0.9747 0.5000  4 O 1.88-2.00
Li3 0.0711 0.4717 0.6365  4 O 1.91-1.94
Li4 0.0711 0.5283 0.1365  4 O 1.91-1.94
Li5 0.4203 0.4654 0.4908  4 O 1.93-2.11
Li6 0.4203 0.5346 0.9908  4 O 1.93-2.11
Li7 0.6489 0.0283 0.1390  4 O 1.92-2.05
Li8 0.6489 0.9717 0.6390  4 O 1.92-2.05
Nb1 0.6719 0.2944 0.7069  6 O 1.94-2.05
Nb2 0.6719 0.7056 0.2069  6 O 1.94-2.05
In1 0.1745 0.2081 0.2046  6 O 2.10-2.23
In2 0.1745 0.7919 0.7046  6 O 2.10-2.23
In3 0.4006 0.2098 0.9335  6 O 2.07-2.17
In4 0.4006 0.7902 0.4335  6 O 2.07-2.17
In5 0.8989 0.2867 0.4325  6 O 2.07-2.20
In6 0.8989 0.7133 0.9325  6 O 2.07-2.20
P1 0.0790 0.3554 0.9665  4 O 1.53-1.58
P2 0.0790 0.6446 0.4665  4 O 1.53-1.58
P3 0.2956 0.1481 0.4707  4 O 1.52-1.59
P4 0.2956 0.8519 0.9707  4 O 1.52-1.59
P5 0.4910 0.4898 0.3194  4 O 1.51-1.58
P6 0.4910 0.5102 0.8194  4 O 1.51-1.58
P7 0.5807 0.0072 0.8187  4 O 1.51-1.60
P8 0.5807 0.9928 0.3187  4 O 1.51-1.60
P9 0.7891 0.3572 0.1714  4 O 1.51-1.59
P10 0.7891 0.6428 0.6714  4 O 1.51-1.59
P11 0.9918 0.1433 0.6717  4 O 1.51-1.58
P12 0.9918 0.8567 0.1717  4 O 1.51-1.58
O1 0.0012 0.2656 0.6031  1 P 1.54
O2 0.0012 0.7344 0.1031  1 P 1.54
O3 0.0389 0.4953 0.4993  1 P 1.53
O4 0.0389 0.5047 0.9993  1 P 1.53
O5 0.0824 0.2252 0.0336  1 P 1.53
O6 0.0824 0.7748 0.5336  1 P 1.53
O7 0.1267 0.1349 0.4765  1 P 1.54
O8 0.1267 0.8651 0.9765  1 P 1.54
O9 0.1422 0.1607 0.7914  1 P 1.51
O10 0.1422 0.8393 0.2914  1 P 1.51
O11 0.2473 0.2086 0.3636  1 P 1.52
O12 0.2473 0.7914 0.8636  1 P 1.52
O13 0.2618 0.3670 0.9748  1 P 1.53
O14 0.2618 0.6330 0.4748  1 P 1.53
O15 0.3064 0.4211 0.2247  1 P 1.54
O16 0.3064 0.5789 0.7247  1 P 1.54
O17 0.4046 0.0008 0.0064  1 P 1.54
O18 0.4046 0.9992 0.5064  1 P 1.54
O19 0.4162 0.0944 0.2442  1 P 1.51
O20 0.4162 0.9056 0.7442  1 P 1.51
O21 0.4317 0.2715 0.5569  1 P 1.59
O22 0.4317 0.7285 0.0569  1 P 1.59
O23 0.4546 0.4246 0.8933  1 P 1.53
O24 0.4546 0.5754 0.3933  1 P 1.53
O25 0.5523 0.3977 0.7643  1 P 1.58
O26 0.5523 0.6023 0.2643  1 P 1.58
O27 0.5563 0.1231 0.8824  1 P 1.51
O28 0.5563 0.8769 0.3824  1 P 1.51
O29 0.6169 0.0971 0.7407  1 P 1.60
O30 0.6169 0.9029 0.2407  1 P 1.60
O31 0.6418 0.3745 0.3860  1 P 1.51
O32 0.6418 0.6255 0.8860  1 P 1.51
O33 0.6432 0.2359 0.0997  1 P 1.54
O34 0.6432 0.7641 0.5997  1 P 1.54
O35 0.6885 0.4837 0.6380  1 P 1.59
O36 0.6885 0.5163 0.1380  1 P 1.59
O37 0.7676 0.0742 0.3956  1 P 1.53
O38 0.7676 0.9258 0.8956  1 P 1.53
O39 0.7969 0.1608 0.6554  1 P 1.58
O40 0.7969 0.8392 0.1554  1 P 1.58
O41 0.8698 0.3284 0.2889  1 P 1.51
O42 0.8698 0.6716 0.7889  1 P 1.51
O43 0.9139 0.3221 0.8443  1 P 1.58
O44 0.9139 0.6779 0.3443  1 P 1.58
O45 0.9447 0.3650 0.1530  1 P 1.54
O46 0.9447 0.6350 0.6530  1 P 1.54
O47 0.9963 0.0145 0.1309  1 P 1.55
O48 0.9963 0.9855 0.6309  1 P 1.55